This record from the Alexandria database describes a relaxed structure of Y2ReGe. The functional is PBE.

Results
Theoretical density ... 7.87 g/cm3
ΔE_f ... 0.4377 eV/atom
Space-group type ... I-42d (122)

```
data_Y2ReGe
_chemical_formula_sum 'Y4 Re2 Ge2'
_symmetry_space_group_name_H-M 'P 1'
_symmetry_Int_Tables_number 1
_cell_length_a 7.9104
_cell_length_b 7.9104
_cell_length_c 6.3205
_cell_angle_alpha 51.26
_cell_angle_beta 51.26
_cell_angle_gamma 90.00
loop_
_symmetry_equiv_pos_as_xyz
'x,y,z'
loop_
_atom_site_label
_atom_site_type_symbol
_atom_site_fract_x
_atom_site_fract_y
_atom_site_fract_z
_atom_site_occupancy
Y1 Y 0.0959 0.6250 0.2500 1
Y2 Y 0.6541 0.1250 0.2500 1
Re1 Re 0.0000 0.0000 0.0000 1
Ge1 Ge 0.5000 0.5000 0.0000 1
Y3 Y 0.8750 0.9041 0.7500 1
Re2 Re 0.7500 0.2500 0.5000 1
Y4 Y 0.3750 0.3459 0.7500 1
Ge2 Ge 0.2500 0.7500 0.5000 1
```

This record from the Alexandria database describes a relaxed structure of LaCeGdAg. The functional is PBE.

Results
Theoretical density ... 8.07 g/cm3
ΔE_f ... 0.0886 eV/atom
Space-group type ... F-43m (216)

```
data_LaCeGdAg
_chemical_formula_sum 'La1 Ce1 Gd1 Ag1'
_symmetry_space_group_name_H-M 'P 1'
_symmetry_Int_Tables_number 1
_cell_length_a 5.4095
_cell_length_b 5.4095
_cell_length_c 5.4095
_cell_angle_alpha 60.00
_cell_angle_beta 60.00
_cell_angle_gamma 60.00
loop_
_symmetry_equiv_pos_as_xyz
'x,y,z'
loop_
_atom_site_label
_atom_site_type_symbol
_atom_site_fract_x
_atom_site_fract_y
_atom_site_fract_z
_atom_site_occupancy
Ag1 Ag 0.5000 0.5000 0.5000 1
Ce1 Ce 0.0000 0.0000 0.0000 1
Gd1 Gd 0.7500 0.7500 0.7500 1
La1 La 0.2500 0.2500 0.2500 1
```